Record 1
# Y4InSi | the Alexandria database | PBE | relaxed
# - Energy relative to the lowest polymorph listed for this composition: 0 meV per atom
# - V: 27.3 A^3/atom
data_Y4InSi
_space_group_name_H-M_alt 'P 1 21/m 1'
_space_group_IT_number 11
_space_group_name_Hall '-P 2yb'
_cell_length_a 5.736
_cell_length_b 6.739
_cell_length_c 8.595
_cell_angle_alpha 90.00
_cell_angle_beta 99.46
_cell_angle_gamma 90.00
loop_
_atom_site_label
_atom_site_fract_x
_atom_site_fract_y
_atom_site_fract_z
Y1 0.151 0.250 0.054
Y2 0.191 0.750 0.363
Y3 0.334 0.508 0.750
In1 0.235 0.250 0.422
Si1 0.349 0.750 0.040

***

Record 2
# Ge2Pb2I | the Alexandria database | PBE | relaxed
# - Energy relative to the lowest polymorph listed for this composition: 125 meV per atom
# - V: 29.2 A^3/atom
data_Ge2Pb2I
_space_group_name_H-M_alt 'I 4/m m m'
_space_group_IT_number 139
_space_group_name_Hall '-I 4 2'
_cell_length_a 5.355
_cell_length_b 5.355
_cell_length_c 10.176
_cell_angle_alpha 90.00
_cell_angle_beta 90.00
_cell_angle_gamma 90.00
loop_
_atom_site_label
_atom_site_fract_x
_atom_site_fract_y
_atom_site_fract_z
Ge1 0.000 0.000 0.123
Pb1 0.000 0.500 0.250
I1 0.000 0.000 0.500

***

Record 3
# Na2LaIrF | the Alexandria database | PBE | relaxed
# - E: -3.34 eV/atom
# - V: 45.5 A^3/atom
data_Na2LaIrF
_space_group_name_H-M_alt 'P 4/m m m'
_space_group_IT_number 123
_space_group_name_Hall '-P 4 2'
_cell_length_a 6.820
_cell_length_b 6.820
_cell_length_c 4.889
_cell_angle_alpha 90.00
_cell_angle_beta 90.00
_cell_angle_gamma 90.00
loop_
_atom_site_label
_atom_site_fract_x
_atom_site_fract_y
_atom_site_fract_z
Na1 0.000 0.500 0.000
La1 0.000 0.000 0.000
Ir1 0.000 0.000 0.500
F1 0.500 0.500 0.500

***

Record 4
# BeTc3Rh | the Alexandria database | PBE | relaxed
# - Energy relative to the lowest polymorph listed for this composition: 0 meV per atom
# - Formation energy: 0.542 eV/atom
# - V: 13.8 A^3/atom
data_BeTc3Rh
_space_group_name_H-M_alt 'P m -3 m'
_space_group_IT_number 221
_space_group_name_Hall '-P 4 2 3'
_cell_length_a 4.098
_cell_length_b 4.098
_cell_length_c 4.098
_cell_angle_alpha 90.00
_cell_angle_beta 90.00
_cell_angle_gamma 90.00
loop_
_atom_site_label
_atom_site_fract_x
_atom_site_fract_y
_atom_site_fract_z
Be1 0.000 0.000 0.000
Tc1 0.000 0.000 0.500
Rh1 0.500 0.500 0.500

***

Record 5
# CsTl2SnBr8 | the Alexandria database | PBE | relaxed
# - E: -2.77 eV/atom
# - V: 36.5 A^3/atom
data_CsTl2SnBr8
_space_group_name_H-M_alt 'P -1'
_space_group_IT_number 2
_space_group_name_Hall '-P 1'
_cell_length_a 6.149
_cell_length_b 7.539
_cell_length_c 9.884
_cell_angle_alpha 89.63
_cell_angle_beta 72.91
_cell_angle_gamma 88.93
loop_
_atom_site_label
_atom_site_fract_x
_atom_site_fract_y
_atom_site_fract_z
Cs1 0.000 0.000 0.000
Tl1 0.316 0.486 0.313
Sn1 0.000 0.000 0.500
Br1 0.169 0.247 0.627
Br2 0.183 0.744 0.619
Br3 0.246 0.500 0.997
Br4 0.353 0.007 0.266

***

Record 6
# K2SrFeCl6 | the Alexandria database | PBE | relaxed
# - E: -4.06 eV/atom
# - V: 28.3 A^3/atom
data_K2SrFeCl6
_space_group_name_H-M_alt 'P 1 21/c 1'
_space_group_IT_number 14
_space_group_name_Hall '-P 2ybc'
_cell_length_a 7.260
_cell_length_b 7.507
_cell_length_c 12.607
_cell_angle_alpha 90.00
_cell_angle_beta 124.48
_cell_angle_gamma 90.00
loop_
_atom_site_label
_atom_site_fract_x
_atom_site_fract_y
_atom_site_fract_z
K1 0.227 0.063 0.247
Sr1 0.500 0.000 0.000
Fe1 0.000 0.000 0.500
Cl1 0.133 0.221 0.950
Cl2 0.233 0.686 0.954
Cl3 0.323 0.025 0.730